Computed, not measured: a relaxed MgBeRe crystal at the PBE level of DFT.

extended XYZ file:
```
3
Lattice="6.323 0.002 0.000 5.200 3.597 0.000 -5.761 -1.800 1.883" Properties=species:S:1:pos:R:3 pbc="T T T"
Re 7.487 2.339 0.000
Be 0.131 0.041 0.000
Mg 3.905 1.220 0.000
```

Density of states at the Fermi level   2.47 states/eV/f.u.
V   14.27 Å³/atom
Total DFT energy (no corrections)   -5.58 eV per atom
Energy of formation from the pure elements   346.8 meV per atom

***

Computed, not measured: a relaxed MgBe3Re crystal at the PBE level of DFT.

extended XYZ file:
```
5
Lattice="4.287 0.000 0.000 0.000 4.287 0.000 0.000 0.000 4.287" Properties=species:S:1:pos:R:3 pbc="T T T"
Be 0.000 0.000 2.143
Mg 2.143 2.143 2.143
Be 0.000 2.143 0.000
Be 2.143 0.000 0.000
Re 0.000 0.000 0.000
```

Density of states at the Fermi level   2.08 states/eV/f.u.
V   15.75 Å³/atom
Total DFT energy (no corrections)   -4.26 eV per atom
Energy of formation from the pure elements   785.5 meV per atom

***

Computed, not measured: a relaxed Mg2BeRe crystal at the PBE level of DFT.

extended XYZ file:
```
4
Lattice="-1.209 2.849 3.638 -4.362 1.789 -0.768 1.670 -4.473 -0.118" Properties=species:S:1:pos:R:3 pbc="T T T"
Mg -2.739 -0.183 0.274
Be -1.162 0.347 2.477
Re -2.786 2.319 1.435
Mg 0.000 0.000 0.000
```

Density of states at the Fermi level   2.87 states/eV/f.u.
V   14.85 Å³/atom
Total DFT energy (no corrections)   -4.39 eV per atom
Energy of formation from the pure elements   448.8 meV per atom

***

Computed, not measured: a relaxed MgBe2Re crystal at the PBE level of DFT.

extended XYZ file:
```
4
Lattice="-3.453 -1.858 0.348 0.306 -1.034 -2.485 2.324 -4.213 0.564" Properties=species:S:1:pos:R:3 pbc="T T T"
Be 2.327 -4.313 0.053
Re 0.394 -5.147 -1.316
Be -1.115 -2.067 0.170
Mg 1.211 -2.414 -0.876
```

Density of states at the Fermi level   2.32 states/eV/f.u.
V   12.40 Å³/atom
Total DFT energy (no corrections)   -5.19 eV per atom
Energy of formation from the pure elements   185.3 meV per atom